No. 1
First-principles (PBE) data for LaTbCeSm2 after structural relaxation, as listed in the Alexandria database.

```
LaTbCeSm2
1.0
3.640 0.000 0.000
0.000 5.639 0.000
0.000 0.000 8.770
La Tb Ce Sm
1 1 1 2
Cartesian
0.000 0.000 0.000 La
1.820 2.819 0.000 Tb
1.820 0.000 4.385 Ce
0.000 2.819 2.795 Sm
0.000 2.819 5.975 Sm
```

ρ ... 6.81 Mg/m³
Total energy ... -4.678 eV/atom


No. 2
First-principles (PBE) data for La6Tb2CeSm after structural relaxation, as listed in the Alexandria database.

```
La6Tb2CeSm
1.0
6.142 -3.436 0.000
6.142 3.436 0.000
-3.094 0.000 8.470
La Tb Ce Sm
6 2 1 1
Cartesian
2.191 1.782 5.864 La
-0.828 0.000 7.747 La
6.999 1.782 2.606 La
2.191 -1.782 5.864 La
10.017 0.000 0.723 La
6.999 -1.782 2.606 La
3.891 0.000 2.722 Tb
5.299 0.000 5.747 Tb
-1.547 0.000 4.235 Ce
6.142 0.000 0.000 Sm
```

ρ ... 6.70 Mg/m³
Total energy ... -4.727 eV/atom